The following is a DFT calculation (PBE) of a geometry-optimized La4Mg2O structure.

## Properties
- Fermi-level density of states (states/eV/atom) = 1.14
- ΔE_f (raw) (meV/atom) = -733.8
- energy (eV per cell) = -65.99

Cell: 5.113 5.113 16.328 Å, 90.00 90.00 90.00°
Space group I4/mmm (No. 139)
Asymmetric unit:
La  0.000  0.000  0.157 (multiplicity 4)
La  0.000  0.500  0.000 (multiplicity 4)
Mg  0.000  0.000  0.366 (multiplicity 4)
O  0.000  0.000  0.000 (multiplicity 2)

---

The following is a DFT calculation (PBE) of a geometry-optimized LaMgO structure.

## Properties
- Fermi-level density of states (states/eV/atom) = 0.46
- ΔE_f (raw) (meV/atom) = -1681.4
- energy (eV per cell) = -99.15

Cell: 4.5553 4.5553 21.7977 Å, 90.00 90.00 120.00°
Space group R-3m (No. 166, hexagonal axes)
Asymmetric unit:
La  0.0000  0.0000  0.1086 (multiplicity 6)
Mg  0.0000  0.0000  0.3141 (multiplicity 6)
O  0.0000  0.0000  0.2184 (multiplicity 6)

---

The following is a DFT calculation (PBE) of a geometry-optimized LaMg3O4 structure.

## Properties
- Fermi-level density of states (states/eV/atom) = 0.31
- ΔE_f (raw) (meV/atom) = -2304.1
- energy (eV per cell) = -47.98

Cell: 4.752 4.752 4.752 Å, 90.00 90.00 90.00°
Space group Pm-3m (No. 221)
Asymmetric unit:
La  0.000  0.000  0.000 (multiplicity 1)
Mg  0.000  0.500  0.500 (multiplicity 3)
O  0.000  0.000  0.500 (multiplicity 3)
O  0.500  0.500  0.500 (multiplicity 1)

---

The following is a DFT calculation (PBE) of a geometry-optimized LaMg2O structure.

## Properties
- Fermi-level density of states (states/eV/atom) = 0.19
- ΔE_f (raw) (meV/atom) = -952.5
- energy (eV per cell) = -135.08

Cell: 9.135 9.135 9.135 Å, 90.00 90.00 90.00°
Space group Fd-3m (No. 227, origin choice 2)
Asymmetric unit:
La  0.125  0.125  0.125 (multiplicity 8)
Mg  0.000  0.000  0.500 (multiplicity 16)
O  0.125  0.125  0.625 (multiplicity 8)

---

The following is a DFT calculation (PBE) of a geometry-optimized LaMgOsO6 structure.

## Properties
- Fermi-level density of states (states/eV/atom) = 0.47
- ΔE_f (raw) (meV/atom) = -2064.4
- energy (eV per cell) = -66.08

Cell: 5.2586 5.2586 5.1484 Å, 90.00 90.00 120.00°
Space group P312 (No. 149)
Asymmetric unit:
La  0.0000  0.0000  0.0000 (multiplicity 1)
Mg  0.3333  0.6667  0.5000 (multiplicity 1)
Os  0.6667  0.3333  0.5000 (multiplicity 1)
O  0.3784  0.0254  0.7098 (multiplicity 6)

---

The following is a DFT calculation (PBE) of a geometry-optimized LaMgP2O structure.

## Properties
- Fermi-level density of states (states/eV/atom) = 1.12
- ΔE_f (raw) (meV/atom) = -176.2
- offset from the most stable computed form (kcal/mol of atoms) = 11.95
- energy (eV per cell) = -23.18

Cell: 5.730 5.730 4.168 Å, 90.00 90.00 90.00°
Space group P4/mmm (No. 123)
Asymmetric unit:
La  0.000  0.000  0.000 (multiplicity 1)
Mg  0.500  0.500  0.500 (multiplicity 1)
P  0.000  0.500  0.000 (multiplicity 2)
O  0.000  0.000  0.500 (multiplicity 1)

---

> Look up the Fermi-level density of states of the sixth one.

1.12 states/eV/atom